1.
An optimized crystal structure of RbTm2AgTe4. Source: Alexandria via LeMat-Bulk, functional PBE-GGA.

Final energy   -4.26 eV/atom
Symmetry   Cmcm (63)
Uncorrected formation energy   -8.8 eV/f.u.

Cell: 4.4479 7.8945 15.7925 Å, 90.00 90.00 106.36°
Closest atoms and distances in Å follow each position.
Sites, in units of the cell vectors:
1 Te 0.2632 0.5264 0.3992  1 Ag 2.80, 2 Tm 3.05
2 Te 0.0000 0.0000 0.0000  4 Tm 3.16
3 Te 0.7368 0.4736 0.8992  1 Ag 2.80, 2 Tm 3.05
4 Te 0.7368 0.4736 0.6008  1 Ag 2.80, 2 Tm 3.05
5 Te 0.0000 0.0000 0.5000  4 Tm 3.16
6 Te 0.5545 0.1089 0.2500  2 Ag 2.77, 2 Tm 3.08
7 Te 0.4455 0.8911 0.7500  2 Ag 2.77, 2 Tm 3.08
8 Te 0.2632 0.5264 0.1008  1 Ag 2.80, 2 Tm 3.05
9 Ag 0.1633 0.3266 0.2500  4 Te 2.77-2.80
10 Ag 0.8367 0.6734 0.7500  4 Te 2.77-2.80
11 Tm 0.6298 0.2597 0.0692  6 Te 3.05-3.16
12 Tm 0.3702 0.7403 0.5692  6 Te 3.05-3.16
13 Tm 0.3702 0.7403 0.9308  6 Te 3.05-3.16
14 Tm 0.6298 0.2597 0.4308  6 Te 3.05-3.16
15 Rb 0.8748 0.7496 0.2500  6 Te 3.51-3.65, 2 Ag 3.90
16 Rb 0.1252 0.2504 0.7500  6 Te 3.51-3.65, 2 Ag 3.90

---

2.
An optimized crystal structure of RbTmAgTe3. Source: Alexandria via LeMat-Bulk, functional PBE-GGA.

Final energy   -3.85 eV/atom
Symmetry   Cmcm (63)
Uncorrected formation energy   -5.4 eV/f.u.

Cell: 4.2900 8.8834 11.2817 Å, 90.00 90.00 103.97°
Closest atoms and distances in Å follow each position.
Sites, in units of the cell vectors:
1 Rb 0.2442 0.4883 0.2500  8 Te 3.77-4.06
2 Rb 0.7558 0.5117 0.7500  8 Te 3.77-4.06
3 Ag 0.5321 0.0641 0.2500  4 Te 2.78-2.82
4 Ag 0.4679 0.9359 0.7500  4 Te 2.78-2.82
5 Te 0.0745 0.1491 0.7500  2 Ag 2.82, 2 Tm 3.10
6 Te 0.9255 0.8509 0.2500  2 Ag 2.82, 2 Tm 3.10
7 Te 0.6230 0.2459 0.4533  1 Ag 2.78, 2 Tm 3.06
8 Te 0.3770 0.7541 0.9533  1 Ag 2.78, 2 Tm 3.06
9 Te 0.6230 0.2459 0.0467  1 Ag 2.78, 2 Tm 3.06
10 Te 0.3770 0.7541 0.5467  1 Ag 2.78, 2 Tm 3.06
11 Tm 0.0000 0.0000 0.5000  6 Te 3.06-3.10
12 Tm 0.0000 0.0000 0.0000  6 Te 3.06-3.10

---

3.
An optimized crystal structure of RbTmAgTe2. Source: Alexandria via LeMat-Bulk, functional PBE-GGA.

Final energy   -3.71 eV/atom
Symmetry   P2/c (13)
Uncorrected formation energy   -4.0 eV/f.u.

Cell: 4.7567 8.5092 8.6474 Å, 90.15 90.00 90.00°
Closest atoms and distances in Å follow each position.
Sites, in units of the cell vectors:
1 Te 0.4403 0.2426 0.0006  1 Ag 2.94, 2 Tm 3.00
2 Te 0.5597 0.7574 0.9994  1 Ag 2.94, 2 Tm 3.00
3 Te 0.4403 0.7574 0.4994  1 Ag 2.94, 2 Tm 3.00
4 Te 0.5597 0.2426 0.5006  1 Ag 2.94, 2 Tm 3.00
5 Rb 0.0027 0.5000 0.7500  8 Te 3.72-4.08
6 Rb 0.9973 0.5000 0.2500  8 Te 3.72-4.08
7 Tm 0.4998 0.0000 0.2500  4 Te 3.00, 4 Ag 3.21
8 Tm 0.5002 0.0000 0.7500  4 Te 3.00, 4 Ag 3.21
9 Ag 0.0000 0.0000 0.5000  2 Te 2.94, 4 Tm 3.21
10 Ag 0.0000 0.0000 0.0000  2 Te 2.94, 4 Tm 3.21

---

4.
An optimized crystal structure of RbTm3Ag2Te6. Source: Alexandria via LeMat-Bulk, functional PBE-GGA.

Final energy   -4.25 eV/atom
Symmetry   C2/m (12)
Uncorrected formation energy   -12.0 eV/f.u.

Cell: 4.4969 9.7699 11.7857 Å, 115.67 101.00 90.00°
Closest atoms and distances in Å follow each position.
Sites, in units of the cell vectors:
1 Tm 0.8386 0.2002 0.6772  5 Te 2.99-3.19, 2 Ag 3.18
2 Tm 0.1614 0.7998 0.3228  5 Te 2.99-3.19, 2 Ag 3.18
3 Tm 0.5000 0.5000 0.0000  6 Te 3.06-3.07
4 Te 0.6426 0.5666 0.2853  1 Ag 2.73
5 Te 0.3266 0.9577 0.6533  2 Ag 2.73
6 Te 0.9779 0.2696 0.9558  3 Tm 2.99-3.06
7 Te 0.3574 0.4334 0.7147  1 Ag 2.73
8 Te 0.0221 0.7304 0.0442  3 Tm 2.99-3.06
9 Te 0.6734 0.0423 0.3467  2 Ag 2.73
10 Ag 0.2393 0.1866 0.4786  3 Te 2.73
11 Ag 0.7607 0.8134 0.5214  3 Te 2.73
12 Rb 0.5000 0.0000 0.0000  6 Te 3.67-3.85

---

5.
An optimized crystal structure of Rb3U2AgTe6. Source: Alexandria via LeMat-Bulk, functional PBE-GGA.

Final energy   -4.68 eV/atom
Symmetry   C2/m (12)
Uncorrected formation energy   -9.0 eV/f.u.

Cell: 7.8589 7.8589 8.8856 Å, 98.43 98.43 120.00°
Closest atoms and distances in Å follow each position.
Sites, in units of the cell vectors:
1 Te 0.4082 0.0659 0.1975  2 U 3.08, 1 Ag 3.17
2 Te 0.7237 0.7237 0.1952  2 U 3.08, 1 Ag 3.15
3 Te 0.5918 0.9342 0.8025  2 U 3.08, 1 Ag 3.17
4 Te 0.0659 0.4082 0.1975  2 U 3.08, 1 Ag 3.17
5 Te 0.2763 0.2763 0.8048  2 U 3.08, 1 Ag 3.15
6 Te 0.9342 0.5918 0.8025  2 U 3.08, 1 Ag 3.17
7 Rb 0.5000 0.5000 0.5000  6 Te 3.64-3.70
8 Rb 0.8381 0.1619 0.5000  6 Te 3.66-3.69
9 Rb 0.1619 0.8381 0.5000  6 Te 3.66-3.69
10 U 0.3328 0.6672 0.0000  6 Te 3.08
11 U 0.6672 0.3328 0.0000  6 Te 3.08
12 Ag 0.0000 0.0000 0.0000  6 Te 3.15-3.17

---

6.
An optimized crystal structure of Rb2UAg2Te4. Source: Alexandria via LeMat-Bulk, functional PBE-GGA.

Final energy   -4.20 eV/atom
Symmetry   C2/m (12)
Uncorrected formation energy   -6.3 eV/f.u.

Cell: 4.5506 8.7271 8.5470 Å, 108.41 105.44 90.00°
Closest atoms and distances in Å follow each position.
Sites, in units of the cell vectors:
1 Te 0.4886 0.2351 0.9772  1 Ag 2.83, 2 U 3.11
2 Te 0.8065 0.8093 0.6129  3 Ag 2.86-2.94, 1 U 3.08
3 Te 0.5114 0.7649 0.0228  1 Ag 2.83, 2 U 3.11
4 Te 0.1935 0.1907 0.3871  3 Ag 2.86-2.94, 1 U 3.08
5 Rb 0.8650 0.4249 0.7299  7 Te 3.68-3.89, 3 Ag 4.03-4.10
6 Rb 0.1350 0.5751 0.2701  7 Te 3.68-3.89, 3 Ag 4.03-4.10
7 U 0.0000 0.0000 0.0000  6 Te 3.08-3.11
8 Ag 0.3183 0.0149 0.6367  4 Te 2.83-2.94, 2 Ag 3.15
9 Ag 0.6817 0.9851 0.3633  4 Te 2.83-2.94, 2 Ag 3.15

---

7.
An optimized crystal structure of Rb2UAgTe4. Source: Alexandria via LeMat-Bulk, functional PBE-GGA.

Final energy   -4.15 eV/atom
Symmetry   Fddd (70)
Uncorrected formation energy   -4.5 eV/f.u.

Cell: 6.7950 8.4343 13.8985 Å, 84.35 75.85 66.25°
Closest atoms and distances in Å follow each position.
Sites, in units of the cell vectors:
1 Te 0.8332 0.7224 0.6128  1 Ag 2.85, 1 U 2.86
2 Te 0.9168 0.7776 0.8872  1 Ag 2.85, 1 U 2.86
3 Te 0.5816 0.2224 0.1128  1 Ag 2.85, 1 U 2.86
4 Te 0.5540 0.2776 0.6128  1 Ag 2.85, 1 U 2.86
5 Te 0.1684 0.2776 0.3872  1 Ag 2.85, 1 U 2.86
6 Te 0.1960 0.2224 0.8872  1 Ag 2.85, 1 U 2.86
7 Te 0.3056 0.7776 0.1128  1 Ag 2.85, 1 U 2.86
8 Te 0.4444 0.7224 0.3872  1 Ag 2.85, 1 U 2.86
9 Rb 0.5690 0.5000 0.8620  8 Te 4.00-4.14
10 Rb 0.1810 0.0000 0.6380  8 Te 4.00-4.14
11 Rb 0.9310 0.5000 0.1380  8 Te 4.00-4.14
12 Rb 0.8190 0.0000 0.3620  8 Te 4.00-4.14
13 U 0.0000 0.0000 0.0000  4 Te 2.86
14 U 0.7500 0.5000 0.5000  4 Te 2.86
15 Ag 0.5000 0.0000 0.0000  4 Te 2.85
16 Ag 0.2500 0.5000 0.5000  4 Te 2.85

---

8.
An optimized crystal structure of RbUAgTe2. Source: Alexandria via LeMat-Bulk, functional PBE-GGA.

Final energy   -4.73 eV/atom
Symmetry   Cmme (67)
Uncorrected formation energy   -2.3 eV/f.u.

Cell: 6.6527 6.0014 9.1531 Å, 109.14 90.00 90.00°
Closest atoms and distances in Å follow each position.
Sites, in units of the cell vectors:
1 Te 0.7470 0.8751 0.7502  1 Ag 2.74
2 Te 0.2530 0.3751 0.7502  1 Ag 2.74
3 Te 0.2530 0.1249 0.2498  1 Ag 2.74
4 Te 0.7470 0.6249 0.2498  1 Ag 2.74
5 U 0.5000 0.2500 0.0000  2 U 3.00, 4 Te 3.10
6 U 0.5000 0.7500 0.0000  2 U 3.00, 4 Te 3.10
7 Ag 0.0000 0.0000 0.0000  2 Te 2.74, 2 Ag 3.00
8 Ag 0.0000 0.5000 0.0000  2 Te 2.74, 2 Ag 3.00
9 Rb 0.7634 0.2500 0.5000  8 Te 3.70-4.03
10 Rb 0.2366 0.7500 0.5000  8 Te 3.70-4.03

---

Which value of final energy does entry 6 give? -4.20 eV/atom

---

Which of these has the highest final energy? RbTmAgTe2

---

Among the records above, which one has the highest uncorrected formation energy? RbUAgTe2

---

Look up the final energy of the second one. -3.85 eV/atom